This record from the Alexandria database describes an optimized crystal structure of KAg2SnMo. The functional is PBEsol.

Cell lengths 5.142, 5.142, 5.540 Å; angles 90.00, 90.00, 90.00 degrees
Each line ends with the local moment (μB).
Positions (direct):
Ag 0.500 0.000 0.000  0.15
Sn 0.500 0.500 0.500  -0.13
Ag 0.000 0.500 0.000  0.15
K 0.000 0.000 0.500  0.07
Mo 0.000 0.000 0.000  3.05

Calculated values
DFT formation energy, eV/atom: 1.538
E_tot, eV per atom: -3.219
Density, Mg/m³: 5.32
SG: No. 123

This record from the Alexandria database describes an optimized crystal structure of KAgRuN2. The functional is PBEsol.

Cell lengths 4.299, 4.299, 5.001 Å; angles 90.00, 90.00, 90.00 degrees
Each line ends with the local moment (μB).
Positions (direct):
K 0.000 0.000 0.000  0.03
N 0.000 0.500 0.000  0.69
Ag 0.000 0.000 0.500  -0.01
Ru 0.500 0.500 0.500  2.69
N 0.500 0.000 0.000  0.69

Calculated values
E_tot, eV per atom: -3.104
Density, Mg/m³: 4.96
Uncorrected formation energy, eV/atom: 3.2297
SG: No. 123